1) This record from the Alexandria database describes crystalline YUFe3 at its relaxed geometry. The functional is PBE.

Lattice parameters (Å, degrees): 4.0796 4.0796 5.7172 110.90 110.90 90.00
Closest atoms and distances in Å follow each position.
Sites, in units of the cell vectors:
Y1 0.9885 0.9885 0.9771  8 Fe 2.95-2.97, 4 U 3.24
Fe1 0.4243 0.4243 0.8487  1 U 2.10
Fe2 0.2702 0.7702 0.5405  2 U 2.43, 2 Fe 2.54
Fe3 0.7702 0.2702 0.5405  2 U 2.43, 2 Fe 2.54
U1 0.6369 0.6369 0.2738  1 Fe 2.10

- SG: I4mm
- D(E_F): 5.0 states/eV per cell

=====

2) This record from the Alexandria database describes crystalline YUFe3 at its relaxed geometry. The functional is PBE.

Lattice parameters (Å, degrees): 5.5843 7.3085 9.3399 116.37 90.00 90.00
Closest atoms and distances in Å follow each position.
Sites, in units of the cell vectors:
Fe1 0.4800 0.1150 0.6438  1 U 2.20, 2 Fe 2.44-2.47
Fe2 0.3879 0.6068 0.1046  1 U 2.22, 2 Fe 2.26-2.44
Fe3 0.2115 0.1776 0.4497  1 U 2.30, 1 Fe 2.55
Fe4 0.7885 0.8224 0.5503  1 U 2.30, 1 Fe 2.55
Fe5 0.9800 0.8850 0.8562  1 U 2.20, 2 Fe 2.44-2.47
Fe6 0.8879 0.3932 0.3954  1 U 2.22, 2 Fe 2.26-2.44
Fe7 0.7115 0.8224 0.0503  1 U 2.30, 1 Fe 2.55
Fe8 0.1121 0.6068 0.6046  1 U 2.22, 2 Fe 2.26-2.44
Fe9 0.5200 0.8850 0.3562  1 U 2.20, 2 Fe 2.44-2.47
Fe10 0.2885 0.1776 0.9497  1 U 2.30, 1 Fe 2.55
Fe11 0.6121 0.3932 0.8954  1 U 2.22, 2 Fe 2.26-2.44
Fe12 0.0200 0.1150 0.1438  1 U 2.20, 2 Fe 2.44-2.47
Y1 0.5887 0.5846 0.6961  7 Fe 2.78-3.07
Y2 0.9113 0.5846 0.1961  7 Fe 2.78-3.07
Y3 0.4113 0.4154 0.3039  7 Fe 2.78-3.07
Y4 0.0887 0.4154 0.8039  7 Fe 2.78-3.07
U1 0.6944 0.1168 0.9270  3 Fe 2.20-2.30
U2 0.1944 0.8832 0.5730  3 Fe 2.20-2.30
U3 0.8056 0.1168 0.4270  3 Fe 2.20-2.30
U4 0.3056 0.8832 0.0730  3 Fe 2.20-2.30

- SG: P2_1/c
- D(E_F): 19.7 states/eV per cell

=====

Which is most stable, and by how much? 2), by 0.023 eV/atom.

=====

1) This record from the Alexandria database describes crystalline V4Fe at its relaxed geometry. The functional is PBE.

Lattice parameters (Å, degrees): 2.6332 4.0814 6.4698 108.33 106.12 90.09
Closest atoms and distances in Å follow each position.
Sites, in units of the cell vectors:
V1 0.2037 0.4035 0.8065  6 V 2.43-2.63, 2 Fe 2.50
V2 0.4073 0.8006 0.6009  1 Fe 2.49, 7 V 2.51-2.63
V3 0.7963 0.5965 0.1935  6 V 2.43-2.63, 2 Fe 2.50
V4 0.5927 0.1994 0.3991  1 Fe 2.49, 7 V 2.51-2.63
Fe1 0.0000 0.0000 0.0000  6 V 2.49-2.50, 2 Fe 2.63

- SG: C2/m
- D(E_F): 4.5 states/eV per cell

=====

2) This record from the Alexandria database describes crystalline V4Fe at its relaxed geometry. The functional is PBE.

Lattice parameters (Å, degrees): 5.7111 5.7111 5.7111 104.69 104.69 119.52
Closest atoms and distances in Å follow each position.
Sites, in units of the cell vectors:
V1 0.6691 0.8726 0.7965  1 Fe 2.19
V2 0.6226 0.3260 0.7035  1 Fe 2.19
V3 0.6226 0.9191 0.2965  1 Fe 2.19
V4 0.0760 0.8726 0.2035  1 Fe 2.19
V5 0.1274 0.9240 0.7965  1 Fe 2.19
V6 0.0809 0.3774 0.7035  1 Fe 2.19
V7 0.6740 0.3774 0.2965  1 Fe 2.19
V8 0.1274 0.3309 0.2035  1 Fe 2.19
Fe1 0.2500 0.7500 0.5000  4 V 2.19
Fe2 0.5000 0.5000 0.0000  4 V 2.19

- SG: I4_1/amd
- D(E_F): 12.7 states/eV per cell

=====

Which is most stable, and by how much? 1), by 0.437 eV/atom.

=====

1) This record from the Alexandria database describes crystalline VFe4 at its relaxed geometry. The functional is PBE.

Lattice parameters (Å, degrees): 2.9095 4.7319 4.7319 84.58 72.10 72.10
Closest atoms and distances in Å follow each position.
Sites, in units of the cell vectors:
V1 0.0000 0.0000 0.0000  8 Fe 2.49
Fe1 0.4007 0.4003 0.7983  6 Fe 2.48-2.49, 2 V 2.49
Fe2 0.1990 0.2017 0.4003  6 Fe 2.48-2.49, 2 V 2.49
Fe3 0.8010 0.7983 0.5997  6 Fe 2.48-2.49, 2 V 2.49
Fe4 0.5993 0.5997 0.2017  6 Fe 2.48-2.49, 2 V 2.49

- SG: I4/m
- D(E_F): 2.5 states/eV per cell

=====

2) This record from the Alexandria database describes crystalline VFe4 at its relaxed geometry. The functional is PBE.

Lattice parameters (Å, degrees): 4.1929 4.1929 4.1929 90.00 90.00 90.00
Closest atoms and distances in Å follow each position.
Sites, in units of the cell vectors:
Fe1 0.5000 0.5000 0.0000  2 V 2.10
Fe2 0.0000 0.5000 0.5000  2 V 2.10
Fe3 0.5000 0.0000 0.5000  2 V 2.10
Fe4 0.0000 0.0000 0.0000  12 Fe 2.96
V1 0.5000 0.5000 0.5000  6 Fe 2.10

- SG: Pm-3m
- D(E_F): 7.1 states/eV per cell

=====

Which is most stable, and by how much? 1), by 1.272 eV/atom.